First-principles (PBE-GGA) data for a relaxed structure of Sr3La, as listed in Alexandria via LeMat-Bulk.

Cell and atoms, written as CIF:
```
data_Sr3La
_chemical_formula_sum 'Sr3 La1'
_cell_length_a 4.0749
_cell_length_b 4.0749
_cell_length_c 13.5449
_cell_angle_alpha 90.00
_cell_angle_beta 90.00
_cell_angle_gamma 120.00
_space_group_name_H-M_alt 'P -6 m 2'
_space_group_IT_number 187
_space_group_name_Hall 'P -6 2'
loop_
_atom_site_label
_atom_site_fract_x
_atom_site_fract_y
_atom_site_fract_z
_atom_site_occupancy
Sr1 0.0000 0.0000 0.0000 1
Sr2 0.6667 0.3333 0.2618 1
La1 0.0000 0.0000 0.5000 1
```

Summary:
magnetization: 0.8 μB per formula unit
energy relative to the lowest polymorph listed for this composition: 0 meV/atom
D(E_F): 5.836 states/eV/f.u.

---

First-principles (PBE-GGA) data for a relaxed structure of La3HfP, as listed in Alexandria via LeMat-Bulk.

Cell and atoms, written as CIF:
```
data_La3HfP
_chemical_formula_sum 'La3 Hf1 P1'
_cell_length_a 5.551
_cell_length_b 5.551
_cell_length_c 5.551
_cell_angle_alpha 90.00
_cell_angle_beta 90.00
_cell_angle_gamma 90.00
_space_group_name_H-M_alt 'P m -3 m'
_space_group_IT_number 221
_space_group_name_Hall '-P 4 2 3'
loop_
_atom_site_label
_atom_site_fract_x
_atom_site_fract_y
_atom_site_fract_z
_atom_site_occupancy
La1 0.000 0.000 0.500 1
Hf1 0.000 0.000 0.000 1
P1 0.500 0.500 0.500 1
```

Summary:
magnetization: 0.0 μB per formula unit
energy relative to the lowest polymorph listed for this composition: 629 meV/atom
D(E_F): 4.723 states/eV/f.u.

---

First-principles (PBE-GGA) data for a relaxed structure of Mg2TlCu2, as listed in Alexandria via LeMat-Bulk.

Cell and atoms, written as CIF:
```
data_Mg2TlCu2
_chemical_formula_sum 'Mg4 Tl2 Cu4'
_cell_length_a 4.231
_cell_length_b 4.231
_cell_length_c 11.257
_cell_angle_alpha 90.00
_cell_angle_beta 90.00
_cell_angle_gamma 90.00
_space_group_name_H-M_alt 'I 4/m m m'
_space_group_IT_number 139
_space_group_name_Hall '-I 4 2'
loop_
_atom_site_label
_atom_site_fract_x
_atom_site_fract_y
_atom_site_fract_z
_atom_site_occupancy
Mg1 0.000 0.500 0.250 1
Tl1 0.000 0.000 0.000 1
Cu1 0.000 0.000 0.395 1
```

Summary:
magnetization: 0.0 μB per formula unit
energy relative to the lowest polymorph listed for this composition: 173 meV/atom
D(E_F): 1.916 states/eV/f.u.

---

First-principles (PBE-GGA) data for a relaxed structure of SmSc5Sb4, as listed in Alexandria via LeMat-Bulk.

Cell and atoms, written as CIF:
```
data_SmSc5Sb4
_chemical_formula_sum 'Sm2 Sc10 Sb8'
_cell_length_a 9.689
_cell_length_b 10.027
_cell_length_c 5.667
_cell_angle_alpha 90.00
_cell_angle_beta 90.00
_cell_angle_gamma 90.00
_space_group_name_H-M_alt 'C m m m'
_space_group_IT_number 65
_space_group_name_Hall '-C 2 2'
loop_
_atom_site_label
_atom_site_fract_x
_atom_site_fract_y
_atom_site_fract_z
_atom_site_occupancy
Sm1 0.000 0.000 0.000 1
Sc1 0.000 0.500 0.500 1
Sc2 0.250 0.250 0.250 1
Sb1 0.000 0.330 0.000 1
Sb2 0.190 0.000 0.500 1
```

Summary:
magnetization: 0.3 μB per formula unit
D(E_F): 10.926 states/eV/f.u.
E_form (uncorrected): -0.554 eV per atom

---

First-principles (PBE-GGA) data for a relaxed structure of PbAu2I, as listed in Alexandria via LeMat-Bulk.

Cell and atoms, written as CIF:
```
data_PbAu2I
_chemical_formula_sum 'Pb4 Au8 I4'
_cell_length_a 7.428
_cell_length_b 7.428
_cell_length_c 7.428
_cell_angle_alpha 90.00
_cell_angle_beta 90.00
_cell_angle_gamma 90.00
_space_group_name_H-M_alt 'F m -3 m'
_space_group_IT_number 225
_space_group_name_Hall '-F 4 2 3'
loop_
_atom_site_label
_atom_site_fract_x
_atom_site_fract_y
_atom_site_fract_z
_atom_site_occupancy
Pb1 0.000 0.000 0.000 1
Au1 0.250 0.250 0.250 1
I1 0.000 0.000 0.500 1
```

Summary:
magnetization: 0.0 μB per formula unit
energy relative to the lowest polymorph listed for this composition: 172 meV/atom
D(E_F): 5.588 states/eV/f.u.
E_form (uncorrected): 0.284 eV per atom

---

First-principles (PBE-GGA) data for a relaxed structure of CsNa2Ta2O7, as listed in Alexandria via LeMat-Bulk.

Cell and atoms, written as CIF:
```
data_CsNa2Ta2O7
_chemical_formula_sum 'Cs2 Na4 Ta4 O14'
_cell_length_a 3.956
_cell_length_b 17.652
_cell_length_c 6.110
_cell_angle_alpha 90.00
_cell_angle_beta 90.00
_cell_angle_gamma 90.00
_space_group_name_H-M_alt 'I m m 2'
_space_group_IT_number 44
loop_
_space_group_symop_operation_xyz
'x,y,z'
'-x,-y,z'
'-x,y,z'
'x,-y,z'
'x+1/2,y+1/2,z+1/2'
'-x+1/2,-y+1/2,z+1/2'
'-x+1/2,y+1/2,z+1/2'
'x+1/2,-y+1/2,z+1/2'
loop_
_atom_site_label
_atom_site_fract_x
_atom_site_fract_y
_atom_site_fract_z
_atom_site_occupancy
Cs1 0.000 0.000 0.000 1
Na1 0.000 0.271 0.493 1
Ta1 0.000 0.391 0.005 1
O1 0.000 0.105 0.445 1
O2 0.000 0.294 0.876 1
O3 0.000 0.384 0.301 1
O4 0.000 0.500 0.906 1
```

Summary:
magnetization: 1.0 μB per formula unit
D(E_F): 3.042 states/eV/f.u.
E_form (uncorrected): -2.302 eV per atom

---

First-principles (PBE-GGA) data for a relaxed structure of Ti2Al2Au, as listed in Alexandria via LeMat-Bulk.

Cell and atoms, written as CIF:
```
data_Ti2Al2Au
_chemical_formula_sum 'Ti4 Al4 Au2'
_cell_length_a 7.656
_cell_length_b 7.656
_cell_length_c 3.029
_cell_angle_alpha 90.00
_cell_angle_beta 90.00
_cell_angle_gamma 90.00
_space_group_name_H-M_alt 'P 4/m b m'
_space_group_IT_number 127
_space_group_name_Hall '-P 4 2ab'
loop_
_atom_site_label
_atom_site_fract_x
_atom_site_fract_y
_atom_site_fract_z
_atom_site_occupancy
Ti1 0.116 0.384 0.000 1
Al1 0.184 0.684 0.500 1
Au1 0.000 0.000 0.000 1
```

Summary:
magnetization: 1.3 μB per formula unit
energy relative to the lowest polymorph listed for this composition: 381 meV/atom
D(E_F): 9.268 states/eV/f.u.

---

First-principles (PBE-GGA) data for a relaxed structure of CsSm2Cl2F5, as listed in Alexandria via LeMat-Bulk.

Cell and atoms, written as CIF:
```
data_CsSm2Cl2F5
_chemical_formula_sum 'Cs2 Sm4 Cl4 F10'
_cell_length_a 10.186
_cell_length_b 10.186
_cell_length_c 3.590
_cell_angle_alpha 90.00
_cell_angle_beta 90.00
_cell_angle_gamma 90.00
_space_group_name_H-M_alt 'P 4/m b m'
_space_group_IT_number 127
_space_group_name_Hall '-P 4 2ab'
loop_
_atom_site_label
_atom_site_fract_x
_atom_site_fract_y
_atom_site_fract_z
_atom_site_occupancy
Cs1 0.000 0.000 0.000 1
Sm1 0.127 0.373 0.000 1
Cl1 0.164 0.664 0.000 1
F1 0.000 0.500 0.500 1
F2 0.080 0.237 0.500 1
```

Summary:
magnetization: 0.0 μB per formula unit
D(E_F): 0.000 states/eV/f.u.
E_form (uncorrected): -3.266 eV per atom